This record from Alexandria via LeMat-Bulk describes a relaxed structure of TlIr2Se. The functional is PBEsol.

## Properties
**Formation energy (no corrections)**: 45 kJ per mole of atoms
**Space group**: R-3m
**Final energy**: -0.44608 Ry per atom
**Calculated volume**: 16.746 A^3/atom
**Polymorph energy (0 for the lowest one)**: 0.104 eV/atom

Lattice parameters (Å, degrees): 8.510 8.510 8.510 20.63 20.63 20.63
Element x y z (fractional)
Tl 0.000 0.000 0.000
Ir 0.243 0.243 0.243
Ir 0.757 0.757 0.757
Se 0.500 0.500 0.500


This record from Alexandria via LeMat-Bulk describes a relaxed structure of TlIr2Se. The functional is PBEsol.

## Properties
**Formation energy (no corrections)**: 49 kJ per mole of atoms
**Space group**: P4/mmm
**Final energy**: -0.44261 Ry per atom
**Calculated volume**: 16.599 A^3/atom
**Polymorph energy (0 for the lowest one)**: 0.151 eV/atom

Lattice parameters (Å, degrees): 3.022 3.022 7.273 90.00 90.00 90.00
Element x y z (fractional)
Tl 0.000 0.000 0.000
Ir 0.500 0.500 0.278
Ir 0.500 0.500 0.722
Se 0.000 0.000 0.500


This record from Alexandria via LeMat-Bulk describes a relaxed structure of TlIr2Se. The functional is PBEsol.

## Properties
**Formation energy (no corrections)**: 35 kJ per mole of atoms
**Space group**: P4mm
**Final energy**: -0.45372 Ry per atom
**Calculated volume**: 18.298 A^3/atom
**Polymorph energy (0 for the lowest one)**: 0.000 eV/atom

Lattice parameters (Å, degrees): 2.942 2.942 8.458 90.00 90.00 90.00
Element x y z (fractional)
Tl 0.000 0.000 0.000
Ir 0.000 0.000 0.464
Ir 0.500 0.500 0.255
Se 0.500 0.500 0.643


This record from Alexandria via LeMat-Bulk describes a relaxed structure of IrW2Se. The functional is PBEsol.

## Properties
**Formation energy (no corrections)**: 59 kJ per mole of atoms
**Space group**: I-4m2
**Final energy**: -0.71367 Ry per atom
**Calculated volume**: 15.372 A^3/atom
**Polymorph energy (0 for the lowest one)**: 0.381 eV/atom

Lattice parameters (Å, degrees): 4.935 4.935 4.935 133.84 133.84 67.34
Element x y z (fractional)
Ir 0.000 0.000 0.000
W 0.250 0.750 0.500
W 0.500 0.500 0.000
Se 0.750 0.250 0.500


This record from Alexandria via LeMat-Bulk describes a relaxed structure of IrWSe2. The functional is PBEsol.

## Properties
**Formation energy (no corrections)**: 20 kJ per mole of atoms
**Space group**: Immm
**Final energy**: -0.56022 Ry per atom
**Calculated volume**: 20.961 A^3/atom
**Polymorph energy (0 for the lowest one)**: 0.000 eV/atom

Lattice parameters (Å, degrees): 6.409 6.409 6.409 146.58 144.47 49.57
Element x y z (fractional)
Ir 0.000 0.000 0.000
W 0.500 0.500 0.000
Se 0.147 0.647 0.500
Se 0.853 0.353 0.500


This record from Alexandria via LeMat-Bulk describes a relaxed structure of IrW3Se. The functional is PBEsol.

## Properties
**Formation energy (no corrections)**: 174 kJ per mole of atoms
**Space group**: Pm-3m
**Final energy**: -0.67757 Ry per atom
**Calculated volume**: 17.940 A^3/atom

Lattice parameters (Å, degrees): 4.476 4.476 4.476 90.00 90.00 90.00
Element x y z (fractional)
Ir 0.000 0.000 0.000
W 0.000 0.500 0.500
W 0.500 0.000 0.500
W 0.500 0.500 0.000
Se 0.500 0.500 0.500


This record from Alexandria via LeMat-Bulk describes a relaxed structure of IrWSe2. The functional is PBEsol.

## Properties
**Formation energy (no corrections)**: 43 kJ per mole of atoms
**Space group**: P4/mmm
**Final energy**: -0.54286 Ry per atom
**Calculated volume**: 15.276 A^3/atom
**Polymorph energy (0 for the lowest one)**: 0.236 eV/atom

Lattice parameters (Å, degrees): 4.363 4.363 3.209 90.00 90.00 90.00
Element x y z (fractional)
Ir 0.000 0.000 0.000
W 0.500 0.500 0.000
Se 0.000 0.500 0.500
Se 0.500 0.000 0.500


This record from Alexandria via LeMat-Bulk describes a relaxed structure of Ir4WSe. The functional is PBEsol.

## Properties
**Formation energy (no corrections)**: 72 kJ per mole of atoms
**Space group**: F-43m
**Final energy**: -0.64290 Ry per atom
**Calculated volume**: 15.837 A^3/atom

Lattice parameters (Å, degrees): 5.122 5.122 5.122 60.00 60.00 60.00
Element x y z (fractional)
Ir 0.125 0.125 0.125
Ir 0.125 0.125 0.626
Ir 0.125 0.626 0.125
Ir 0.626 0.125 0.125
W 0.750 0.750 0.750
Se 0.500 0.500 0.500